# Ba3LaSn

A geometry-optimized Ba3LaSn structure (PBE, Alexandria via LeMat-Bulk).

Uncorrected energy: -2.39 eV per atom

a b c (Å): 6.246 6.246 6.246
angles (deg): 90.00 90.00 90.00
Space group Pm-3m (No. 221)
One atom of each set of equivalent atoms:
Ba  0.000  0.000  0.500 (multiplicity 3)
La  0.000  0.000  0.000 (multiplicity 1)
Sn  0.500  0.500  0.500 (multiplicity 1)